[1]
Entry from Alexandria via LeMat-Bulk: In2HPdBr after structural relaxation (GGA-PBE).

Cell: 5.453 5.453 3.611 Å, 90.00 90.00 90.00°
Space group P4/mmm (No. 123)
One atom of each set of equivalent atoms:
In 0.000 0.500 0.000 x2
H 0.000 0.000 0.500 x1
Pd 0.000 0.000 0.000 x1
Br 0.500 0.500 0.500 x1

Calculated values
E: -3.4244 eV per atom

[2]
Entry from Alexandria via LeMat-Bulk: KBa2SrAs after structural relaxation (GGA-PBE).

Cell: 6.597 6.597 6.247 Å, 90.00 90.00 90.00°
Space group P4/mmm (No. 123)
One atom of each set of equivalent atoms:
K 0.000 0.000 0.000 x1
Ba 0.000 0.500 0.500 x2
Sr 0.500 0.500 0.000 x1
As 0.500 0.500 0.500 x1

Calculated values
E: -2.7181 eV per atom

[3]
Entry from Alexandria via LeMat-Bulk: Tb3Pm2Te6 after structural relaxation (GGA-PBE).

Cell: 4.4363 4.4363 64.5820 Å, 90.00 90.00 120.00°
Space group R-3m (No. 166, hexagonal axes)
One atom of each set of equivalent atoms:
Tb 0.0000 0.0000 0.0000 x3
Tb 0.0000 0.0000 0.2799 x6
Pm 0.0000 0.0000 0.4465 x6
Te 0.0000 0.0000 0.0815 x6
Te 0.0000 0.0000 0.1945 x6
Te 0.0000 0.0000 0.3603 x6

Calculated values
Formation energy (no corrections): -1.34 eV/atom
ΔE to the lowest computed polymorph: 0.098 eV/atom
E: -5.1781 eV per atom

[4]
Entry from Alexandria via LeMat-Bulk: AgIrAu2 after structural relaxation (GGA-PBE).

Cell: 9.549 2.804 5.166 Å, 90.00 99.37 90.00°
Space group C2/m (No. 12)
One atom of each set of equivalent atoms:
Ag 0.000 0.000 0.000 x2
Ir 0.000 0.500 0.500 x2
Au 0.244 0.000 0.744 x4

Calculated values
ΔE to the lowest computed polymorph: 0.093 eV/atom
E: -4.2516 eV per atom

[5]
Entry from Alexandria via LeMat-Bulk: CaTcRu4 after structural relaxation (GGA-PBE).

Cell: 7.304 7.304 7.304 Å, 90.00 90.00 90.00°
Space group F-43m (No. 216)
One atom of each set of equivalent atoms:
Ca 0.000 0.000 0.000 x4
Tc 0.250 0.250 0.250 x4
Ru 0.125 0.125 0.625 x16

Calculated values
E: -7.8465 eV per atom

[6]
Entry from Alexandria via LeMat-Bulk: Nd3PaTe6 after structural relaxation (GGA-PBE).

Cell: 12.318 15.160 7.714 Å, 90.00 90.00 90.00°
Space group Cmc2_1 (No. 36)
One atom of each set of equivalent atoms:
Nd 0.000 0.094 0.000 x4
Nd 0.184 0.399 0.880 x8
Pa 0.000 0.338 0.368 x4
Te 0.000 0.265 0.734 x4
Te 0.000 0.495 0.115 x4
Te 0.165 0.038 0.695 x8
Te 0.168 0.236 0.166 x8

Calculated values
Formation energy (no corrections): -1.15 eV/atom
E: -5.4110 eV per atom

[7]
Entry from Alexandria via LeMat-Bulk: NdThPa2As4 after structural relaxation (GGA-PBE).

Cell: 7.225 4.176 7.233 Å, 90.00 109.50 90.00°
Space group P2/m (No. 10)
One atom of each set of equivalent atoms:
Nd 0.000 0.000 0.000 x1
Th 0.000 0.500 0.500 x1
Pa 0.500 0.000 0.500 x1
Pa 0.500 0.500 0.000 x1
As 0.262 0.000 0.755 x2
As 0.263 0.500 0.254 x2

Calculated values
E: -7.4701 eV per atom

[8]
Entry from Alexandria via LeMat-Bulk: LuZn2Si after structural relaxation (GGA-PBE).

Cell: 4.024 4.024 4.300 Å, 90.00 90.00 90.00°
Space group P4/mmm (No. 123)
One atom of each set of equivalent atoms:
Lu 0.000 0.000 0.000 x1
Zn 0.000 0.500 0.500 x2
Si 0.500 0.500 0.000 x1

Calculated values
Formation energy (no corrections): -0.34 eV/atom
E: -3.4632 eV per atom

[9]
Entry from Alexandria via LeMat-Bulk: BePdPt2 after structural relaxation (GGA-PBE).

Cell: 3.725 3.725 17.870 Å, 90.00 90.00 90.00°
Space group I-42d (No. 122)
One atom of each set of equivalent atoms:
Be 0.000 0.000 0.000 x4
Pd 0.000 0.000 0.500 x4
Pt 0.241 0.250 0.125 x8

Calculated values
ΔE to the lowest computed polymorph: 0.547 eV/atom
E: -5.1708 eV per atom

[10]
Entry from Alexandria via LeMat-Bulk: KZrCr after structural relaxation (GGA-PBE).

Cell: 7.098 7.098 7.098 Å, 90.00 90.00 90.00°
Space group F-43m (No. 216)
One atom of each set of equivalent atoms:
K 0.000 0.000 0.000 x4
Zr 0.250 0.250 0.750 x4
Cr 0.250 0.250 0.250 x4

Calculated values
ΔE to the lowest computed polymorph: 1.334 eV/atom
E: -4.3197 eV per atom

[11]
Entry from Alexandria via LeMat-Bulk: Y2Zn2Os after structural relaxation (GGA-PBE).

Cell: 7.421 7.421 4.205 Å, 90.00 90.00 90.00°
Space group P4/mbm (No. 127)
One atom of each set of equivalent atoms:
Y 0.168 0.332 0.000 x4
Zn 0.132 0.632 0.500 x4
Os 0.000 0.000 0.000 x2

Calculated values
ΔE to the lowest computed polymorph: 0.417 eV/atom
E: -5.0254 eV per atom

[12]
Entry from Alexandria via LeMat-Bulk: RePb2Br after structural relaxation (GGA-PBE).

Cell: 8.216 7.969 3.133 Å, 90.00 108.27 90.00°
Space group C2/m (No. 12)
One atom of each set of equivalent atoms:
Re 0.000 0.000 0.000 x2
Pb 0.250 0.250 0.500 x4
Br 0.000 0.500 0.000 x2

Calculated values
Formation energy (no corrections): 0.72 eV/atom
ΔE to the lowest computed polymorph: 0.162 eV/atom
E: -4.6653 eV per atom

no.,DOS at the Fermi energy (states/eV/atom),size of the total moment (μB per cell)
1,0.304,0.00
2,0.995,0.00
3,0.458,0.00
4,0.824,1.29
5,1.462,0.00
6,0.760,8.06
7,0.974,0.00
8,0.161,0.00
9,0.721,0.00
10,0.515,11.03
11,0.476,0.79
12,0.724,0.00